[1]
Material: Ba6Rh2Br3F
Method: DFT, PBE
State: relaxed

Cell lengths 7.701, 7.701, 8.646 Å; angles 98.60, 98.60, 119.92 degrees
Atoms (fractional coordinates):
Ba: 0.069 0.400 0.207
Ba: 0.263 0.263 0.792
Ba: 0.400 0.069 0.207
Ba: 0.600 0.931 0.793
Ba: 0.737 0.737 0.208
Ba: 0.931 0.600 0.793
Rh: 0.334 0.666 0.000
Rh: 0.666 0.334 0.000
Br: 0.170 0.830 0.500
Br: 0.500 0.500 0.500
Br: 0.830 0.170 0.500
F: 0.000 0.000 0.000

Summary:
Its space group is C2/m (12). The formation energy without anion corrections is -1.366 eV per atom.


[2]
Material: SrPtPb4
Method: DFT, PBE
State: relaxed

Cell lengths 6.392, 6.392, 6.392 Å; angles 60.00, 60.00, 60.00 degrees
Atoms (fractional coordinates):
Sr: 0.000 0.000 0.000
Pt: 0.250 0.250 0.250
Pb: 0.127 0.624 0.624
Pb: 0.624 0.127 0.624
Pb: 0.624 0.624 0.127
Pb: 0.624 0.624 0.624

Summary:
Its space group is F-43m (216). As for the formation energy: 0.135 eV per atom.


[3]
Material: BaY3
Method: DFT, PBE
State: relaxed

Cell lengths 7.511, 7.511, 12.057 Å; angles 90.00, 90.00, 120.00 degrees
Atoms (fractional coordinates):
Ba: 0.000 0.000 0.000
Ba: 0.000 0.000 0.500
Ba: 0.333 0.667 0.250
Ba: 0.667 0.333 0.750
Y: 0.000 0.500 0.000
Y: 0.000 0.500 0.500
Y: 0.173 0.345 0.750
Y: 0.173 0.827 0.750
Y: 0.345 0.173 0.250
Y: 0.500 0.000 0.000
Y: 0.500 0.000 0.500
Y: 0.500 0.500 0.000
Y: 0.500 0.500 0.500
Y: 0.655 0.827 0.750
Y: 0.827 0.173 0.250
Y: 0.827 0.655 0.250

Summary:
Its space group is P6_3/mmc (194). As for the formation energy: 0.231 eV per atom. Its energy above the most stable polymorph in this dataset is 90 meV per atom.


[4]
Material: Sr3AcGe2
Method: DFT, PBE
State: relaxed

Cell lengths 5.070, 9.873, 8.249 Å; angles 90.00, 90.00, 90.00 degrees
Atoms (fractional coordinates):
Sr: 0.000 0.087 0.000
Sr: 0.000 0.322 0.382
Sr: 0.000 0.678 0.882
Sr: 0.000 0.913 0.500
Sr: 0.500 0.171 0.667
Sr: 0.500 0.829 0.167
Ac: 0.500 0.419 0.050
Ac: 0.500 0.581 0.550
Ge: 0.000 0.365 0.777
Ge: 0.000 0.635 0.277
Ge: 0.500 0.147 0.266
Ge: 0.500 0.853 0.766

Summary:
Its space group is Pmc2_1 (26). As for the formation energy: -0.479 eV per atom.


[5]
Material: Ta2InP
Method: DFT, PBE
State: relaxed

Cell lengths 8.865, 8.865, 8.865 Å; angles 20.92, 20.92, 20.92 degrees
Atoms (fractional coordinates):
Ta: 0.000 0.000 0.000
Ta: 0.251 0.251 0.251
In: 0.760 0.760 0.760
P: 0.519 0.519 0.519

Summary:
Its space group is R3m (160). As for the formation energy: 0.052 eV per atom. Its energy above the most stable polymorph in this dataset is 343 meV per atom.


[6]
Material: Tb3Nd3Sc2
Method: DFT, PBE
State: relaxed

Cell lengths 4.998, 5.028, 9.887 Å; angles 90.00, 90.00, 90.00 degrees
Atoms (fractional coordinates):
Tb: 0.000 0.000 0.000
Tb: 0.500 0.000 0.248
Tb: 0.500 0.000 0.752
Nd: 0.000 0.000 0.500
Nd: 0.500 0.500 0.000
Nd: 0.500 0.500 0.500
Sc: 0.000 0.500 0.248
Sc: 0.000 0.500 0.752

Summary:
Its space group is Pmmm (47). As for the formation energy: 0.041 eV per atom. Its energy above the most stable polymorph in this dataset is 0 meV per atom.


[7]
Material: LaTcRh2
Method: DFT, PBE
State: relaxed

Cell lengths 2.898, 3.670, 6.877 Å; angles 90.00, 90.00, 90.00 degrees
Atoms (fractional coordinates):
La: 0.000 0.000 0.000
Tc: 0.000 0.000 0.500
Rh: 0.500 0.500 0.306
Rh: 0.500 0.500 0.694

Summary:
Its space group is Pmmm (47). As for the formation energy: -0.057 eV per atom. Its energy above the most stable polymorph in this dataset is 0 meV per atom.


[8]
Material: Pu2ZnBi4
Method: DFT, PBE
State: relaxed

Cell lengths 4.600, 4.600, 9.572 Å; angles 90.00, 90.00, 90.00 degrees
Atoms (fractional coordinates):
Pu: 0.000 0.500 0.233
Pu: 0.500 0.000 0.767
Zn: 0.500 0.500 0.000
Bi: 0.000 0.000 0.500
Bi: 0.000 0.500 0.830
Bi: 0.500 0.000 0.170
Bi: 0.500 0.500 0.500

Summary:
Its space group is P-4m2 (115). As for the formation energy: -0.241 eV per atom.